# 1
La2MgCu6Ni | PBE | relaxed

```
La2MgCu6Ni
1.0
4.909 0.000 0.000
2.452 6.191 0.000
2.446 0.098 6.205
La Mg Cu Ni
2 1 6 1
direct
0.227 0.229 0.317
0.773 0.771 0.683
0.000 0.000 0.000
0.236 0.272 0.761
0.253 0.573 0.921
0.269 0.728 0.239
0.731 0.272 0.761
0.747 0.427 0.079
0.764 0.728 0.239
0.500 0.500 0.500
```

Output
Theoretical density ... 6.53 g/cm³
Magnetization ... 0.00 μB/f.u.
DOS(E_F) ... 7.874 states/eV/f.u.
Volume ... 189 Å³ per cell
DFT total energy ... -4.2548 eV/atom
Formation energy from the elements ... -71 kJ/mol of formula units

=====

# 2
La2MgCu12Ni3 | PBE | relaxed

```
La2MgCu12Ni3
1.0
4.277 2.469 4.183
-4.277 2.469 4.183
0.000 -4.939 4.183
La Mg Cu Ni
2 1 12 3
direct
0.248 0.248 0.248
0.752 0.752 0.752
0.500 0.500 0.500
0.077 0.077 0.656
0.077 0.656 0.077
0.219 0.701 0.701
0.299 0.299 0.781
0.299 0.781 0.299
0.344 0.923 0.923
0.656 0.077 0.077
0.701 0.219 0.701
0.701 0.701 0.219
0.781 0.299 0.299
0.923 0.344 0.923
0.923 0.923 0.344
0.000 0.500 0.500
0.500 0.000 0.500
0.500 0.500 0.000
```

Output
Theoretical density ... 7.77 g/cm³
Magnetization ... 0.00 μB/f.u.
DOS(E_F) ... 7.493 states/eV/f.u.
Volume ... 265 Å³ per cell
DFT total energy ... -4.2708 eV/atom
Formation energy from the elements ... 103 kJ/mol of formula units

=====

# 3
La2MgCuO | PBE | relaxed

```
La2MgCuO
1.0
5.097 0.000 0.000
0.000 5.097 0.000
0.000 0.000 4.206
La Mg Cu O
2 1 1 1
direct
0.000 0.500 0.000
0.500 0.000 0.000
0.000 0.000 0.500
0.500 0.500 0.500
0.000 0.000 0.000
```

Output
Theoretical density ... 5.80 g/cm³
Magnetization ... 0.00 μB/f.u.
DOS(E_F) ... 3.961 states/eV/f.u.
Raw formation energy ... -1.051 eV per atom
Volume ... 109 Å³ per cell
DFT total energy ... -5.1515 eV/atom

=====

# 4
LaMgCuOs2 | PBE | relaxed

```
LaMgCuOs2
1.0
4.728 0.000 0.000
0.000 4.728 0.000
0.000 0.000 4.461
La Mg Cu Os
1 1 1 2
direct
0.000 0.000 0.000
0.500 0.500 0.000
0.500 0.500 0.500
0.000 0.500 0.500
0.500 0.000 0.500
```

Output
Theoretical density ... 10.11 g/cm³
Magnetization ... 0.49 μB/f.u.
DOS(E_F) ... 6.819 states/eV/f.u.
Volume ... 100 Å³ per cell
DFT total energy ... -5.8940 eV/atom
Formation energy from the elements ... 348 kJ/mol of formula units

=====

# 5
LaMgCuPd | PBE | relaxed

```
LaMgCuPd
1.0
7.952 0.000 0.000
0.000 4.583 0.000
-2.642 0.000 4.773
La Mg Cu Pd
2 2 2 2
direct
0.000 0.000 0.000
0.500 0.500 0.000
0.002 0.500 0.506
0.502 0.000 0.506
0.292 0.500 0.375
0.792 0.000 0.375
0.210 0.000 0.628
0.710 0.500 0.628
```

Output
Theoretical density ... 6.36 g/cm³
Magnetization ... 0.00 μB/f.u.
DOS(E_F) ... 2.469 states/eV/f.u.
Volume ... 174 Å³ per cell
DFT total energy ... -4.4374 eV/atom
Formation energy from the elements ... -187 kJ/mol of formula units

=====

# 6
La2MgCu2Pd5 | PBE | relaxed

```
La2MgCu2Pd5
1.0
9.684 0.000 0.000
0.000 9.684 0.000
0.000 0.000 3.954
La Mg Cu Pd
4 2 4 10
direct
0.178 0.322 0.000
0.322 0.822 0.000
0.678 0.178 0.000
0.822 0.678 0.000
0.000 0.000 0.000
0.500 0.500 0.000
0.120 0.620 0.000
0.380 0.120 0.000
0.620 0.880 0.000
0.880 0.380 0.000
0.000 0.500 0.500
0.067 0.793 0.500
0.207 0.067 0.500
0.293 0.567 0.500
0.433 0.293 0.500
0.500 0.000 0.500
0.567 0.707 0.500
0.707 0.433 0.500
0.793 0.933 0.500
0.933 0.207 0.500
```

Output
Theoretical density ... 8.61 g/cm³
Magnetization ... 0.00 μB/f.u.
DOS(E_F) ... 4.315 states/eV/f.u.
Volume ... 371 Å³ per cell
DFT total energy ... -5.1825 eV/atom
Formation energy from the elements ... -600 kJ/mol of formula units

=====

Question: Look up the DOS(E_F) of the second one.
Answer: 7.493 states/eV/f.u.

=====

Question: What is the DFT total energy in the sixth record?
Answer: -5.1825 eV/atom

=====

Question: Number 6 is which compound?
Answer: La2MgCu2Pd5